Compound: YNbGaFe
Source: OQMD via LeMat-Bulk
Functional: PBE
Structure: optimized geometry

abc: 4.597 4.597 4.597
angles: 60.00 60.00 60.00
Fractional positions:
Ga 0.000 0.000 0.000
Nb 0.500 0.500 0.500
Fe 0.750 0.750 0.750
Y 0.250 0.250 0.250

Output
Its total DFT energy (no corrections) is -27.03 eV/f.u. As for the space group: F-43m (216). The value obtained for the total magnetization is 0.0 μB/f.u.



Compound: Nd6GaFe13
Source: OQMD via LeMat-Bulk
Functional: PBE
Structure: optimized geometry

abc: 12.864 12.864 12.864
angles: 143.73 143.73 52.23
Site moments in Bohr magnetons follow the coordinates.
Fractional positions:
Nd 0.892 0.892 0.000  -0.26
Nd 0.978 0.147 0.500  -0.25
Fe 0.291 0.566 0.857  2.27
Fe 0.238 0.380 0.500  2.21
Nd 0.608 0.608 0.000  -0.26
Fe 0.708 0.982 0.500  2.35
Fe 0.208 0.708 0.726  2.35
Nd 0.853 0.353 0.831  -0.25
Fe 0.066 0.791 0.857  2.27
Fe 0.262 0.762 0.142  2.20
Fe 0.518 0.792 0.500  2.35
Fe 0.738 0.238 0.858  2.20
Fe 0.500 0.000 0.500  1.96
Nd 0.147 0.647 0.169  -0.25
Fe 0.566 0.709 0.276  2.27
Fe 0.018 0.518 0.726  2.35
Nd 0.022 0.853 0.500  -0.25
Fe 0.482 0.208 0.500  2.35
Fe 0.620 0.120 0.858  2.20
Nd 0.647 0.478 0.500  -0.25
Fe 0.982 0.482 0.274  2.35
Ga 0.250 0.250 0.000  0.05
Fe 0.709 0.434 0.143  2.27
Fe 0.209 0.066 0.276  2.27
Fe 0.934 0.209 0.143  2.27
Fe 0.000 0.500 0.500  1.96
Fe 0.880 0.738 0.500  2.20
Fe 0.792 0.292 0.274  2.35
Nd 0.353 0.522 0.500  -0.25
Fe 0.434 0.291 0.724  2.27
Fe 0.791 0.934 0.724  2.27
Fe 0.762 0.620 0.500  2.21
Nd 0.522 0.022 0.169  -0.25
Nd 0.108 0.108 0.000  -0.26
Nd 0.478 0.978 0.831  -0.25
Ga 0.750 0.750 0.000  0.05
Fe 0.292 0.018 0.500  2.35
Fe 0.380 0.880 0.142  2.20
Fe 0.120 0.262 0.500  2.20
Nd 0.392 0.392 0.000  -0.26

Output
Its total DFT energy (no corrections) is -140.74 eV/f.u. As for the space group: I4/mcm (140). The value obtained for the total magnetization is 26.4 μB/f.u.



Compound: NdGa2Fe2
Source: OQMD via LeMat-Bulk
Functional: PBE
Structure: optimized geometry

abc: 3.982 3.982 11.033
angles: 90.00 90.00 90.00
Site moments in Bohr magnetons follow the coordinates.
Fractional positions:
Ga 0.500 0.500 0.500  -0.04
Ga 0.500 0.000 0.138  -0.12
Fe 0.000 0.500 0.634  1.63
Nd 0.000 0.500 0.257  -0.14
Fe 0.000 0.000 0.000  2.14
Ga 0.000 0.500 0.862  -0.12
Ga 0.000 0.000 0.500  -0.04
Fe 0.500 0.500 0.000  2.14
Fe 0.500 0.000 0.366  1.63
Nd 0.500 0.000 0.743  -0.14

Output
Its total DFT energy (no corrections) is -28.30 eV/f.u. As for the space group: P4/nmm (129). The value obtained for the total magnetization is 3.3 μB/f.u.